Material: SrFeBr2
Method: DFT, PBE
State: relaxed

Unit cell a=3.706 b=3.706 c=8.544 alpha=90.00 beta=90.00 gamma=90.00
Space group P4mm (No. 99)
Unique sites:
1 Sr 0.000 0.000 0.000 x1
2 Fe 0.500 0.500 0.724 x1
3 Br 0.000 0.000 0.612 x1
4 Br 0.500 0.500 0.200 x1

- Total moment: 3.209 μB per formula unit
- Uncorrected formation energy: -0.53 eV/atom
- Mass density: 4.292 g cm⁻³



Material: SrFeBr2
Method: DFT, PBE
State: relaxed

Unit cell a=4.3771 b=4.3771 c=31.1593 alpha=90.00 beta=90.00 gamma=120.00
Space group R-3m (No. 166, hexagonal axes)
Unique sites:
1 Sr 0.0000 0.0000 0.0000 x3
2 Fe 0.0000 0.0000 0.5000 x3
3 Br 0.0000 0.0000 0.2789 x6

- Total moment: 4.004 μB per formula unit
- Uncorrected formation energy: -0.43 eV/atom
- Mass density: 2.922 g cm⁻³



Material: SrFe4Br
Method: DFT, PBE
State: relaxed

Unit cell a=7.534 b=7.534 c=7.534 alpha=90.00 beta=90.00 gamma=90.00
Space group F-43m (No. 216)
Unique sites:
1 Sr 0.000 0.000 0.000 x4
2 Fe 0.131 0.131 0.369 x16
3 Br 0.250 0.250 0.750 x4

- Total moment: 10.915 μB per formula unit
- Uncorrected formation energy: 0.49 eV/atom
- Mass density: 6.071 g cm⁻³



Material: SrFeBr2
Method: DFT, PBE
State: relaxed

Unit cell a=7.487 b=7.487 c=7.487 alpha=90.00 beta=90.00 gamma=90.00
Space group Fm-3m (No. 225)
Unique sites:
1 Sr 0.000 0.000 0.000 x4
2 Fe 0.000 0.000 0.500 x4
3 Br 0.250 0.250 0.250 x8

- Total moment: 3.920 μB per formula unit
- Uncorrected formation energy: -0.51 eV/atom
- Mass density: 4.800 g cm⁻³



Material: Sr3FeBr
Method: DFT, PBE
State: relaxed

Unit cell a=5.705 b=5.705 c=5.705 alpha=90.00 beta=90.00 gamma=90.00
Space group Pm-3m (No. 221)
Unique sites:
1 Sr 0.000 0.000 0.500 x3
2 Fe 0.000 0.000 0.000 x1
3 Br 0.500 0.500 0.500 x1

- Total moment: 0.000 μB per formula unit
- Uncorrected formation energy: 0.08 eV/atom
- Mass density: 3.565 g cm⁻³



Material: SrFe2Br8
Method: DFT, PBE
State: relaxed

Unit cell a=12.228 b=11.124 c=6.835 alpha=90.00 beta=95.32 gamma=90.00
Space group C2/m (No. 12)
Unique sites:
1 Sr 0.000 0.000 0.000 x2
2 Fe 0.218 0.000 0.630 x4
3 Br 0.101 0.500 0.242 x4
4 Br 0.123 0.171 0.741 x8
5 Br 0.215 0.000 0.281 x4

- Total moment: 9.998 μB per formula unit
- Uncorrected formation energy: -0.92 eV/atom
- Mass density: 3.008 g cm⁻³



> mass density of number 6 (SrFe2Br8)?

3.008 g cm⁻³